i | {"formula": "TiTe3N", "functional": "PBE", "state": "relaxed", "lattice_angstrom": [[5.3199, 0.0000, 0.0000], [0.0000, 5.3199, 0.0000], [0.0000, 0.0000, 5.3199]], "species": ["Ti", "Te", "Te", "Te", "N"], "frac_coords": [[0.0000, 0.0000, 0.0000], [0.0000, 0.0000, 0.5000], [0.0000, 0.5000, 0.0000], [0.5000, 0.0000, 0.0000], [0.5000, 0.5000, 0.5000]]}

ii | {"formula": "TiTe3N", "functional": "PBE", "state": "relaxed", "lattice_angstrom": [[4.7215, 0.0000, 0.0000], [0.0000, 4.7215, 0.0000], [0.0000, 0.0000, 4.7215]], "species": ["Ti", "Te", "Te", "Te", "N"], "frac_coords": [[0.0000, 0.0000, 0.0000], [0.0000, 0.5000, 0.5000], [0.5000, 0.0000, 0.5000], [0.5000, 0.5000, 0.0000], [0.5000, 0.5000, 0.5000]]}

Most stable structure: ii

i | {"formula": "TiTe2N2", "functional": "PBE", "state": "relaxed", "lattice_angstrom": [[5.5391, 0.0000, 0.0000], [0.0000, 5.5391, 0.0000], [0.0000, 0.0000, 3.6936]], "species": ["Ti", "Te", "Te", "N", "N"], "frac_coords": [[0.0000, 0.0000, 0.0000], [0.0000, 0.5000, 0.0000], [0.5000, 0.0000, 0.0000], [0.0000, 0.0000, 0.5000], [0.5000, 0.5000, 0.5000]]}

ii | {"formula": "TiTe2N2", "functional": "PBE", "state": "relaxed", "lattice_angstrom": [[4.5609, 0.0000, 0.0000], [0.0000, 4.5609, 0.0000], [0.0000, 0.0000, 3.9057]], "species": ["Ti", "Te", "Te", "N", "N"], "frac_coords": [[0.0000, 0.0000, 0.0000], [0.0000, 0.5000, 0.5000], [0.5000, 0.0000, 0.5000], [0.5000, 0.5000, 0.0000], [0.5000, 0.5000, 0.5000]]}

iii | {"formula": "TiTe2N2", "functional": "PBE", "state": "relaxed", "lattice_angstrom": [[4.0533, 0.0000, 0.0000], [0.0000, 4.0533, 0.0000], [0.0000, 0.0000, 5.9778]], "species": ["Ti", "Te", "Te", "N", "N"], "frac_coords": [[0.0000, 0.0000, 0.0000], [0.0000, 0.0000, 0.5000], [0.5000, 0.5000, 0.5000], [0.0000, 0.5000, 0.0000], [0.5000, 0.0000, 0.0000]]}

iv | {"formula": "TiTe2N2", "functional": "PBE", "state": "relaxed", "lattice_angstrom": [[4.0115, 0.0000, 0.0000], [0.0000, 4.0115, 0.0000], [0.0000, 0.0000, 6.4093]], "species": ["Ti", "Te", "Te", "N", "N"], "frac_coords": [[0.0000, 0.0000, 0.0000], [0.5000, 0.5000, 0.0000], [0.5000, 0.5000, 0.5000], [0.0000, 0.5000, 0.5000], [0.5000, 0.0000, 0.5000]]}

Most stable structure: iii

i | {"formula": "TiTlTeN2", "functional": "PBE", "state": "relaxed", "lattice_angstrom": [[4.0636, 0.0000, 0.0000], [0.0000, 4.0636, 0.0000], [0.0000, 0.0000, 5.8085]], "species": ["Ti", "Tl", "Te", "N", "N"], "frac_coords": [[0.0000, 0.0000, 0.0000], [0.5000, 0.5000, 0.5000], [0.0000, 0.0000, 0.5000], [0.0000, 0.5000, 0.0000], [0.5000, 0.0000, 0.0000]]}

ii | {"formula": "TiTlTeN2", "functional": "PBE", "state": "relaxed", "lattice_angstrom": [[4.1730, 0.0000, 0.0000], [0.0000, 4.1730, 0.0000], [0.0000, 0.0000, 6.1342]], "species": ["Ti", "Tl", "Te", "N", "N"], "frac_coords": [[0.0000, 0.0000, 0.0000], [0.5000, 0.5000, 0.5000], [0.5000, 0.5000, 0.0000], [0.0000, 0.5000, 0.5000], [0.5000, 0.0000, 0.5000]]}

Most stable structure: i

i | {"formula": "TiTeWN2", "functional": "PBE", "state": "relaxed", "lattice_angstrom": [[3.9464, 0.0000, 0.0000], [0.0000, 3.9464, 0.0000], [0.0000, 0.0000, 5.6000]], "species": ["Ti", "Te", "W", "N", "N"], "frac_coords": [[0.0000, 0.0000, 0.0000], [0.5000, 0.5000, 0.0000], [0.5000, 0.5000, 0.5000], [0.0000, 0.5000, 0.5000], [0.5000, 0.0000, 0.5000]]}

ii | {"formula": "TiTeWN2", "functional": "PBE", "state": "relaxed", "lattice_angstrom": [[3.9468, 0.0000, 0.0000], [0.0000, 3.9468, 0.0000], [0.0000, 0.0000, 5.6486]], "species": ["Ti", "Te", "W", "N", "N"], "frac_coords": [[0.0000, 0.0000, 0.0000], [0.0000, 0.0000, 0.5000], [0.5000, 0.5000, 0.5000], [0.0000, 0.5000, 0.0000], [0.5000, 0.0000, 0.0000]]}

Most stable structure: i

i | {"formula": "YTiTe2N", "functional": "PBE", "state": "relaxed", "lattice_angstrom": [[5.5242, 0.0000, 0.0000], [0.0000, 5.5242, 0.0000], [0.0000, 0.0000, 3.8202]], "species": ["Y", "Ti", "Te", "Te", "N"], "frac_coords": [[0.0000, 0.0000, 0.0000], [0.5000, 0.5000, 0.5000], [0.0000, 0.5000, 0.5000], [0.5000, 0.0000, 0.5000], [0.5000, 0.5000, 0.0000]]}

ii | {"formula": "YTiTe2N", "functional": "PBE", "state": "relaxed", "lattice_angstrom": [[5.8894, 0.0000, 0.0000], [0.0000, 5.8894, 0.0000], [0.0000, 0.0000, 4.2643]], "species": ["Y", "Ti", "Te", "Te", "N"], "frac_coords": [[0.0000, 0.0000, 0.0000], [0.5000, 0.5000, 0.5000], [0.0000, 0.5000, 0.0000], [0.5000, 0.0000, 0.0000], [0.0000, 0.0000, 0.5000]]}

Most stable structure: i

i | {"formula": "ZrTiTeN2", "functional": "PBE", "state": "relaxed", "lattice_angstrom": [[4.0195, 0.0000, 0.0000], [0.0000, 4.0195, 0.0000], [0.0000, 0.0000, 5.3372]], "species": ["Zr", "Ti", "Te", "N", "N"], "frac_coords": [[0.0000, 0.0000, 0.0000], [0.5000, 0.5000, 0.5000], [0.5000, 0.5000, 0.0000], [0.0000, 0.5000, 0.5000], [0.5000, 0.0000, 0.5000]]}

ii | {"formula": "ZrTiTeN2", "functional": "PBE", "state": "relaxed", "lattice_angstrom": [[4.1408, 0.0000, 0.0000], [0.0000, 4.1408, 0.0000], [0.0000, 0.0000, 5.8447]], "species": ["Zr", "Ti", "Te", "N", "N"], "frac_coords": [[0.0000, 0.0000, 0.0000], [0.5000, 0.5000, 0.5000], [0.0000, 0.0000, 0.5000], [0.0000, 0.5000, 0.0000], [0.5000, 0.0000, 0.0000]]}

Most stable structure: i

i | {"formula": "TlTe2N", "functional": "PBE", "state": "relaxed", "lattice_angstrom": [[1.6864, 0.9736, 9.9434], [-1.6864, 0.9736, 9.9434], [0.0000, -1.9473, 9.9434]], "species": ["Tl", "Te", "Te", "N"], "frac_coords": [[0.0000, 0.0000, 0.0000], [0.1133, 0.1133, 0.1133], [0.8867, 0.8867, 0.8867], [0.5000, 0.5000, 0.5000]]}

ii | {"formula": "TlTe2N", "functional": "PBE", "state": "relaxed", "lattice_angstrom": [[2.6253, 1.5157, 6.7157], [-2.6253, 1.5157, 6.7157], [0.0000, -3.0314, 6.7157]], "species": ["Tl", "Te", "Te", "N"], "frac_coords": [[0.0000, 0.0000, 0.0000], [0.4049, 0.4049, 0.4049], [0.5951, 0.5951, 0.5951], [0.5000, 0.5000, 0.5000]]}

Most stable structure: ii

i | {"formula": "TlTe2N", "functional": "PBE", "state": "relaxed", "lattice_angstrom": [[0.0000, 3.5787, 3.5787], [3.5787, 0.0000, 3.5787], [3.5787, 3.5787, 0.0000]], "species": ["Tl", "Te", "Te", "N"], "frac_coords": [[0.0000, 0.0000, 0.0000], [0.2500, 0.2500, 0.2500], [0.7500, 0.7500, 0.7500], [0.5000, 0.5000, 0.5000]]}

ii | {"formula": "TlTe2N", "functional": "PBE", "state": "relaxed", "lattice_angstrom": [[-3.6130, 3.6130, 4.2373], [3.6130, -3.6130, 4.2373], [3.6130, 3.6130, -4.2373]], "species": ["Tl", "Tl", "Te", "Te", "Te", "Te", "N", "N"], "frac_coords": [[0.0000, 0.0000, 0.0000], [0.7500, 0.2500, 0.5000], [0.2513, 0.6250, 0.1263], [0.3750, 0.5013, 0.6263], [0.4987, 0.1250, 0.8737], [0.8750, 0.7487, 0.3737], [0.2500, 0.7500, 0.5000], [0.5000, 0.5000, 0.0000]]}

Most stable structure: ii

i | {"formula": "TlTe3N", "functional": "PBE", "state": "relaxed", "lattice_angstrom": [[4.9354, 0.0000, 0.0000], [0.0000, 4.9354, 0.0000], [0.0000, 0.0000, 4.9354]], "species": ["Tl", "Te", "Te", "Te", "N"], "frac_coords": [[0.0000, 0.0000, 0.0000], [0.0000, 0.5000, 0.5000], [0.5000, 0.0000, 0.5000], [0.5000, 0.5000, 0.0000], [0.5000, 0.5000, 0.5000]]}

ii | {"formula": "TlTe3N", "functional": "PBE", "state": "relaxed", "lattice_angstrom": [[5.7236, 0.0000, 0.0000], [0.0000, 5.7236, 0.0000], [0.0000, 0.0000, 5.7236]], "species": ["Tl", "Te", "Te", "Te", "N"], "frac_coords": [[0.0000, 0.0000, 0.0000], [0.0000, 0.0000, 0.5000], [0.0000, 0.5000, 0.0000], [0.5000, 0.0000, 0.0000], [0.5000, 0.5000, 0.5000]]}

Most stable structure: i

i | {"formula": "TlVTe2N", "functional": "PBE", "state": "relaxed", "lattice_angstrom": [[5.6863, 0.0000, 0.0000], [0.0000, 5.6863, 0.0000], [0.0000, 0.0000, 3.6443]], "species": ["Tl", "V", "Te", "Te", "N"], "frac_coords": [[0.0000, 0.0000, 0.0000], [0.5000, 0.5000, 0.5000], [0.0000, 0.5000, 0.5000], [0.5000, 0.0000, 0.5000], [0.5000, 0.5000, 0.0000]]}

ii | {"formula": "TlVTe2N", "functional": "PBE", "state": "relaxed", "lattice_angstrom": [[5.8480, 0.0000, 0.0000], [0.0000, 5.8480, 0.0000], [0.0000, 0.0000, 4.1782]], "species": ["Tl", "V", "Te", "Te", "N"], "frac_coords": [[0.0000, 0.0000, 0.0000], [0.5000, 0.5000, 0.5000], [0.0000, 0.5000, 0.0000], [0.5000, 0.0000, 0.0000], [0.0000, 0.0000, 0.5000]]}

Most stable structure: i

i | {"formula": "TlTe2WN", "functional": "PBE", "state": "relaxed", "lattice_angstrom": [[5.7834, 0.0000, 0.0000], [0.0000, 5.7834, 0.0000], [0.0000, 0.0000, 4.1297]], "species": ["Tl", "Te", "Te", "W", "N"], "frac_coords": [[0.0000, 0.0000, 0.0000], [0.0000, 0.5000, 0.0000], [0.5000, 0.0000, 0.0000], [0.5000, 0.5000, 0.5000], [0.0000, 0.0000, 0.5000]]}

ii | {"formula": "TlTe2WN", "functional": "PBE", "state": "relaxed", "lattice_angstrom": [[5.5953, 0.0000, 0.0000], [0.0000, 5.5953, 0.0000], [0.0000, 0.0000, 3.8563]], "species": ["Tl", "Te", "Te", "W", "N"], "frac_coords": [[0.0000, 0.0000, 0.0000], [0.0000, 0.5000, 0.5000], [0.5000, 0.0000, 0.5000], [0.5000, 0.5000, 0.5000], [0.5000, 0.5000, 0.0000]]}

Most stable structure: ii

i | {"formula": "YTlTeN2", "functional": "PBE", "state": "relaxed", "lattice_angstrom": [[4.4646, 0.0000, 0.0000], [0.0000, 4.4646, 0.0000], [0.0000, 0.0000, 6.3421]], "species": ["Y", "Tl", "Te", "N", "N"], "frac_coords": [[0.0000, 0.0000, 0.0000], [0.5000, 0.5000, 0.5000], [0.0000, 0.0000, 0.5000], [0.0000, 0.5000, 0.0000], [0.5000, 0.0000, 0.0000]]}

ii | {"formula": "YTlTeN2", "functional": "PBE", "state": "relaxed", "lattice_angstrom": [[4.3757, 0.0000, 0.0000], [0.0000, 4.3757, 0.0000], [0.0000, 0.0000, 5.9723]], "species": ["Y", "Tl", "Te", "N", "N"], "frac_coords": [[0.0000, 0.0000, 0.0000], [0.5000, 0.5000, 0.5000], [0.5000, 0.5000, 0.0000], [0.0000, 0.5000, 0.5000], [0.5000, 0.0000, 0.5000]]}

Most stable structure: i

i | {"formula": "TlZnTeN2", "functional": "PBE", "state": "relaxed", "lattice_angstrom": [[4.1716, 0.0000, 0.0000], [0.0000, 4.1716, 0.0000], [0.0000, 0.0000, 5.3569]], "species": ["Tl", "Zn", "Te", "N", "N"], "frac_coords": [[0.0000, 0.0000, 0.0000], [0.5000, 0.5000, 0.0000], [0.5000, 0.5000, 0.5000], [0.0000, 0.5000, 0.5000], [0.5000, 0.0000, 0.5000]]}

ii | {"formula": "TlZnTeN2", "functional": "PBE", "state": "relaxed", "lattice_angstrom": [[4.2332, 0.0000, 0.0000], [0.0000, 4.2332, 0.0000], [0.0000, 0.0000, 5.9219]], "species": ["Tl", "Zn", "Te", "N", "N"], "frac_coords": [[0.0000, 0.0000, 0.0000], [0.5000, 0.5000, 0.5000], [0.5000, 0.5000, 0.0000], [0.0000, 0.5000, 0.5000], [0.5000, 0.0000, 0.5000]]}

Most stable structure: i